(1)
DFT (GGA-PBE) results for a geometry-optimized SmHoTh2 structure.

Summary:
* DOS at the Fermi energy: 15.76 states/eV per cell
* formation energy: 0.520 eV per atom

Lattice parameters (Å, degrees): 14.533 14.533 3.517 90.15 90.15 156.37
Atoms (fractional coordinates):
Sm: 0.000 0.500 0.000
Sm: 0.500 0.000 0.500
Ho: 0.149 0.851 0.250
Ho: 0.851 0.149 0.750
Th: 0.199 0.303 0.470
Th: 0.303 0.199 0.970
Th: 0.697 0.801 0.030
Th: 0.801 0.697 0.530

(2)
DFT (GGA-PBE) results for a geometry-optimized CaHo2Pt2 structure.

Summary:
* DOS at the Fermi energy: 8.52 states/eV per cell
* formation energy: -1.024 eV per atom

Lattice parameters (Å, degrees): 7.898 7.898 3.806 90.00 90.00 90.00
Atoms (fractional coordinates):
Ca: 0.000 0.000 0.000
Ca: 0.500 0.500 0.000
Ho: 0.156 0.344 0.500
Ho: 0.344 0.844 0.500
Ho: 0.656 0.156 0.500
Ho: 0.844 0.656 0.500
Pt: 0.138 0.638 0.000
Pt: 0.362 0.138 0.000
Pt: 0.638 0.862 0.000
Pt: 0.862 0.362 0.000

(3)
DFT (GGA-PBE) results for a geometry-optimized Pm2SiAg structure.

Summary:
* uncorrected formation energy: -0.426 eV per atom
* DOS at the Fermi energy: 4.02 states/eV per cell

Lattice parameters (Å, degrees): 5.185 5.185 5.185 60.00 60.00 60.00
Atoms (fractional coordinates):
Pm: 0.250 0.250 0.250
Pm: 0.750 0.750 0.750
Si: 0.000 0.000 0.000
Ag: 0.500 0.500 0.500

(4)
DFT (GGA-PBE) results for a geometry-optimized DyZnInHg structure.

Summary:
* DOS at the Fermi energy: 0.42 states/eV per cell
* formation energy: -0.295 eV per atom

Lattice parameters (Å, degrees): 5.034 5.034 5.034 60.00 60.00 60.00
Atoms (fractional coordinates):
Dy: 0.000 0.000 0.000
Zn: 0.750 0.750 0.750
In: 0.500 0.500 0.500
Hg: 0.250 0.250 0.250

(5)
DFT (GGA-PBE) results for a geometry-optimized Ac2Pm2PtRh2 structure.

Summary:
* DOS at the Fermi energy: 3.94 states/eV per cell
* formation energy: -0.721 eV per atom

Lattice parameters (Å, degrees): 7.413 7.413 8.322 118.27 118.27 31.97
Atoms (fractional coordinates):
Ac: 0.034 0.034 0.258
Ac: 0.966 0.966 0.742
Pm: 0.280 0.280 0.196
Pm: 0.720 0.720 0.804
Pt: 0.500 0.500 0.500
Rh: 0.383 0.383 0.961
Rh: 0.617 0.617 0.039

(6)
DFT (GGA-PBE) results for a geometry-optimized SbRhBr2 structure.

Summary:
* uncorrected formation energy: -0.103 eV per atom
* DOS at the Fermi energy: 0.07 states/eV per cell

Lattice parameters (Å, degrees): 3.761 3.761 7.739 90.00 90.00 90.00
Atoms (fractional coordinates):
Sb: 0.000 0.000 0.000
Rh: 0.500 0.500 0.901
Br: 0.000 0.000 0.654
Br: 0.500 0.500 0.237

(7)
DFT (GGA-PBE) results for a geometry-optimized LiHoGa structure.

Summary:
* DOS at the Fermi energy: 1.68 states/eV per cell
* formation energy: -0.355 eV per atom

Lattice parameters (Å, degrees): 4.662 4.662 3.315 90.00 90.00 120.00
Atoms (fractional coordinates):
Li: 0.000 0.000 0.000
Ho: 0.667 0.333 0.500
Ga: 0.333 0.667 0.000

(8)
DFT (GGA-PBE) results for a geometry-optimized CaDy3Tm2Te6 structure.

Summary:
* uncorrected formation energy: -1.298 eV per atom
* DOS at the Fermi energy: 5.66 states/eV per cell

Lattice parameters (Å, degrees): 9.754 9.754 8.735 103.48 103.48 25.76
Atoms (fractional coordinates):
Ca: 0.000 0.000 0.000
Dy: 0.000 0.000 0.500
Dy: 0.336 0.336 0.177
Dy: 0.664 0.664 0.823
Tm: 0.330 0.330 0.660
Tm: 0.670 0.670 0.340
Te: 0.166 0.166 0.578
Te: 0.169 0.169 0.085
Te: 0.496 0.496 0.747
Te: 0.504 0.504 0.253
Te: 0.831 0.831 0.915
Te: 0.834 0.834 0.422

(9)
DFT (GGA-PBE) results for a geometry-optimized La8Si3Br4N structure.

Summary:
* uncorrected formation energy: -1.194 eV per atom
* DOS at the Fermi energy: 7.61 states/eV per cell

Lattice parameters (Å, degrees): 9.029 9.029 9.029 55.51 55.51 55.51
Atoms (fractional coordinates):
La: 0.238 0.238 0.238
La: 0.262 0.718 0.718
La: 0.282 0.282 0.738
La: 0.282 0.738 0.282
La: 0.718 0.262 0.718
La: 0.718 0.718 0.262
La: 0.738 0.282 0.282
La: 0.762 0.762 0.762
Si: 0.000 0.000 0.500
Si: 0.000 0.500 0.000
Si: 0.500 0.000 0.000
Br: 0.000 0.000 0.000
Br: 0.000 0.500 0.500
Br: 0.500 0.000 0.500
Br: 0.500 0.500 0.000
N: 0.500 0.500 0.500

(10)
DFT (GGA-PBE) results for a geometry-optimized Al2GeWAu structure.

Summary:
* DOS at the Fermi energy: 4.38 states/eV per cell
* formation energy: 1.114 eV per atom

Lattice parameters (Å, degrees): 4.650 4.650 5.279 90.00 90.00 90.00
Atoms (fractional coordinates):
Al: 0.000 0.500 0.000
Al: 0.500 0.000 0.000
Ge: 0.000 0.000 0.500
W: 0.500 0.500 0.500
Au: 0.500 0.500 0.000

(11)
DFT (GGA-PBE) results for a geometry-optimized BClO structure.

Summary:
* uncorrected formation energy: -0.475 eV per atom

Lattice parameters (Å, degrees): 11.703 11.703 11.703 13.33 13.33 13.33
Atoms (fractional coordinates):
B: 0.101 0.101 0.101
B: 0.899 0.899 0.899
Cl: 0.390 0.390 0.390
Cl: 0.610 0.610 0.610
O: 0.215 0.215 0.215
O: 0.785 0.785 0.785

(12)
DFT (GGA-PBE) results for a geometry-optimized PuNb2FeN4 structure.

Summary:
* uncorrected formation energy: -0.901 eV per atom
* DOS at the Fermi energy: 16.40 states/eV per cell

Lattice parameters (Å, degrees): 5.593 5.593 10.802 90.00 90.00 147.25
Atoms (fractional coordinates):
Pu: 0.108 0.892 0.750
Pu: 0.892 0.108 0.250
Nb: 0.368 0.632 0.555
Nb: 0.368 0.632 0.945
Nb: 0.632 0.368 0.055
Nb: 0.632 0.368 0.445
Fe: 0.159 0.841 0.250
Fe: 0.841 0.159 0.750
N: 0.000 0.000 0.000
N: 0.000 0.000 0.500
N: 0.273 0.727 0.116
N: 0.273 0.727 0.384
N: 0.447 0.553 0.750
N: 0.553 0.447 0.250
N: 0.727 0.273 0.616
N: 0.727 0.273 0.884

(13)
DFT (GGA-PBE) results for a geometry-optimized PaZn2Hg structure.

Summary:
* DOS at the Fermi energy: 4.51 states/eV per cell
* formation energy: 0.071 eV per atom

Lattice parameters (Å, degrees): 3.269 3.269 7.569 90.00 90.00 90.00
Atoms (fractional coordinates):
Pa: 0.000 0.000 0.000
Zn: 0.500 0.500 0.269
Zn: 0.500 0.500 0.731
Hg: 0.000 0.000 0.500

(14)
DFT (GGA-PBE) results for a geometry-optimized La3Ge2H structure.

Summary:
* DOS at the Fermi energy: 7.05 states/eV per cell

Lattice parameters (Å, degrees): 12.051 4.359 11.976 90.00 90.00 90.00
Atoms (fractional coordinates):
La: 0.052 0.250 0.134
La: 0.127 0.750 0.553
La: 0.234 0.250 0.803
La: 0.266 0.750 0.303
La: 0.373 0.250 0.053
La: 0.448 0.750 0.634
La: 0.552 0.250 0.366
La: 0.627 0.750 0.947
La: 0.734 0.250 0.697
La: 0.766 0.750 0.197
La: 0.873 0.250 0.447
La: 0.948 0.750 0.866
Ge: 0.001 0.250 0.687
Ge: 0.185 0.750 0.001
Ge: 0.315 0.250 0.501
Ge: 0.499 0.750 0.187
Ge: 0.501 0.250 0.813
Ge: 0.685 0.750 0.499
Ge: 0.815 0.250 0.999
Ge: 0.999 0.750 0.313
H: 0.243 0.250 0.214
H: 0.257 0.750 0.714
H: 0.743 0.250 0.286
H: 0.757 0.750 0.786

(15)
DFT (GGA-PBE) results for a geometry-optimized BaAc2Hg2 structure.

Summary:
* DOS at the Fermi energy: 5.28 states/eV per cell
* formation energy: -0.315 eV per atom

Lattice parameters (Å, degrees): 11.768 11.768 4.103 90.00 90.00 160.01
Atoms (fractional coordinates):
Ba: 0.000 0.000 0.000
Ac: 0.175 0.825 0.000
Ac: 0.825 0.175 0.000
Hg: 0.403 0.597 0.500
Hg: 0.597 0.403 0.500

(16)
DFT (GGA-PBE) results for a geometry-optimized NaZrSnPt2 structure.

Summary:
* DOS at the Fermi energy: 2.88 states/eV per cell
* formation energy: 0.747 eV per atom

Lattice parameters (Å, degrees): 4.770 4.770 4.890 90.00 90.00 90.00
Atoms (fractional coordinates):
Na: 0.000 0.000 0.000
Zr: 0.500 0.500 0.500
Sn: 0.000 0.000 0.500
Pt: 0.000 0.500 0.000
Pt: 0.500 0.000 0.000

(17)
DFT (GGA-PBE) results for a geometry-optimized ZrSnHgPd2 structure.

Summary:
* DOS at the Fermi energy: 4.87 states/eV per cell
* formation energy: 0.572 eV per atom

Lattice parameters (Å, degrees): 4.971 4.971 5.493 90.00 90.00 90.00
Atoms (fractional coordinates):
Zr: 0.000 0.000 0.000
Sn: 0.500 0.500 0.500
Hg: 0.000 0.000 0.500
Pd: 0.000 0.500 0.000
Pd: 0.500 0.000 0.000

(18)
DFT (GGA-PBE) results for a geometry-optimized Ce3PrRu3 structure.

Summary:
* DOS at the Fermi energy: 17.74 states/eV per cell
* formation energy: -0.271 eV per atom

Lattice parameters (Å, degrees): 7.237 7.237 7.237 76.90 76.90 76.90
Atoms (fractional coordinates):
Ce: 0.129 0.831 0.361
Ce: 0.169 0.639 0.871
Ce: 0.361 0.129 0.831
Ce: 0.639 0.871 0.169
Ce: 0.831 0.361 0.129
Ce: 0.871 0.169 0.639
Pr: 0.337 0.337 0.337
Pr: 0.663 0.663 0.663
Ru: 0.052 0.448 0.711
Ru: 0.289 0.948 0.552
Ru: 0.448 0.711 0.052
Ru: 0.552 0.289 0.948
Ru: 0.711 0.052 0.448
Ru: 0.948 0.552 0.289

(19)
DFT (GGA-PBE) results for a geometry-optimized Ti4Ga2Re structure.

Summary:
* DOS at the Fermi energy: 9.32 states/eV per cell
* formation energy: 0.461 eV per atom

Lattice parameters (Å, degrees): 7.405 7.405 7.405 142.95 142.95 53.40
Atoms (fractional coordinates):
Ti: 0.000 0.500 0.500
Ti: 0.182 0.182 0.000
Ti: 0.500 0.000 0.500
Ti: 0.818 0.818 0.000
Ga: 0.380 0.380 0.000
Ga: 0.620 0.620 0.000
Re: 0.000 0.000 0.000

| no. | energy (eV/atom) | volume (Å³/atom) |
| --- | --- | --- |
| 1 | -5.515 | 37.223 |
| 2 | -5.672 | 23.741 |
| 3 | -4.870 | 24.648 |
| 4 | -2.524 | 22.547 |
| 5 | -6.215 | 30.102 |
| 6 | -3.808 | 27.372 |
| 7 | -3.528 | 20.798 |
| 8 | -4.931 | 29.226 |
| 9 | -5.613 | 29.138 |
| 10 | -4.553 | 22.832 |
| 11 | -4.969 | 12.360 |
| 12 | -10.430 | 11.423 |
| 13 | -3.015 | 20.221 |
| 14 | -5.328 | 26.213 |
| 15 | -2.464 | 38.853 |
| 16 | -4.444 | 22.251 |
| 17 | -4.075 | 27.141 |
| 18 | -7.472 | 25.242 |
| 19 | -6.693 | 20.918 |